First-principles (PBE-GGA) data for a geometry-optimized NdLuGa structure, as listed in OQMD via LeMat-Bulk.

abc: 4.9899 4.9899 4.9899
angles: 60.00 60.00 60.00
Element x y z (fractional)
Ga 0.0000 0.0000 0.0000
Lu 0.2500 0.2500 0.2500
Nd 0.7500 0.7500 0.7500

Distance to the lowest polymorph of the same formula: 0 meV per atom
V: 29.29 A^3/atom
DFT total energy: -4.335 eV/atom

First-principles (PBE-GGA) data for a geometry-optimized Lu2GaNi structure, as listed in OQMD via LeMat-Bulk.

abc: 4.7737 4.7737 4.7737
angles: 60.00 60.00 60.00
Each line ends with the local moment (μB).
Element x y z (fractional)
Ga 0.5000 0.5000 0.5000  0.02
Lu 0.0000 0.0000 0.0000  0.17
Lu 0.7500 0.7500 0.7500  0.26
Ni 0.2500 0.2500 0.2500  0.18

V: 19.23 A^3/atom
DFT total energy: -4.514 eV/atom

First-principles (PBE-GGA) data for a geometry-optimized Lu4Ga21Ni10 structure, as listed in OQMD via LeMat-Bulk.

abc: 10.5746 10.5746 15.4932
angles: 124.48 124.48 22.05
Element x y z (fractional)
Ga 0.5000 0.5000 0.0000
Ga 0.7019 0.7019 0.0022
Ga 0.1179 0.1179 0.0543
Ga 0.4596 0.4596 0.1315
Ga 0.6160 0.6160 0.2039
Ga 0.7521 0.7521 0.2065
Ga 0.0646 0.0646 0.2944
Ga 0.3729 0.3729 0.3050
Ga 0.9929 0.9929 0.4087
Ga 0.6013 0.6013 0.4965
Ga 0.7989 0.7989 0.4973
Ga 0.2011 0.2011 0.5027
Ga 0.3987 0.3987 0.5035
Ga 0.0071 0.0071 0.5913
Ga 0.6271 0.6271 0.6950
Ga 0.9354 0.9354 0.7056
Ga 0.2479 0.2479 0.7935
Ga 0.3840 0.3840 0.7961
Ga 0.5404 0.5404 0.8685
Ga 0.8821 0.8821 0.9457
Ga 0.2981 0.2981 0.9978
Lu 0.8800 0.8800 0.1676
Lu 0.2303 0.2303 0.3248
Lu 0.7697 0.7697 0.6752
Lu 0.1200 0.1200 0.8324
Ni 0.0249 0.0249 0.1069
Ni 0.2513 0.2513 0.1149
Ni 0.4964 0.4964 0.3125
Ni 0.6526 0.6526 0.3864
Ni 0.8663 0.8663 0.3972
Ni 0.1337 0.1337 0.6028
Ni 0.3474 0.3474 0.6136
Ni 0.5036 0.5036 0.6875
Ni 0.7487 0.7487 0.8851
Ni 0.9751 0.9751 0.8931

V: 15.18 A^3/atom
DFT total energy: -4.428 eV/atom

First-principles (PBE-GGA) data for a geometry-optimized Lu4Ga5Ni2 structure, as listed in OQMD via LeMat-Bulk.

abc: 6.9714 3.5125 8.7523
angles: 90.00 93.30 90.00
Element x y z (fractional)
Ga 0.0000 0.0000 0.0000
Ga 0.6658 0.0000 0.1482
Ga 0.0566 0.0000 0.3231
Ga 0.9434 0.0000 0.6769
Ga 0.3342 0.0000 0.8518
Lu 0.3141 0.5000 0.1408
Lu 0.7336 0.5000 0.4318
Lu 0.2664 0.5000 0.5682
Lu 0.6859 0.5000 0.8592
Ni 0.4289 0.0000 0.3646
Ni 0.5711 0.0000 0.6354

V: 19.45 A^3/atom
DFT total energy: -4.583 eV/atom

First-principles (PBE-GGA) data for a geometry-optimized Lu4Ga12Ni structure, as listed in OQMD via LeMat-Bulk.

abc: 7.3342 7.3342 7.3342
angles: 109.47 109.47 109.47
Element x y z (fractional)
Ga 0.2862 0.2862 0.0000
Ga 0.7138 0.7138 0.0000
Ga 0.7500 0.5000 0.2500
Ga 0.5000 0.7500 0.2500
Ga 0.2862 0.0000 0.2862
Ga 0.0000 0.2862 0.2862
Ga 0.7500 0.2500 0.5000
Ga 0.2500 0.7500 0.5000
Ga 0.7138 0.0000 0.7138
Ga 0.0000 0.7138 0.7138
Ga 0.5000 0.2500 0.7500
Ga 0.2500 0.5000 0.7500
Lu 0.5000 0.0000 0.0000
Lu 0.0000 0.5000 0.0000
Lu 0.0000 0.0000 0.5000
Lu 0.5000 0.5000 0.5000
Ni 0.0000 0.0000 0.0000

V: 17.86 A^3/atom
DFT total energy: -4.045 eV/atom

First-principles (PBE-GGA) data for a geometry-optimized Lu2Ga5Ni12 structure, as listed in OQMD via LeMat-Bulk.

abc: 8.4162 8.4169 8.2559
angles: 90.00 90.00 120.00
Element x y z (fractional)
Ga 0.5000 0.0000 0.0000
Ga 0.0000 0.5000 0.0000
Ga 0.5000 0.5000 0.0000
Ga 0.3333 0.6667 0.1054
Ga 0.3333 0.6667 0.3946
Ga 0.5000 0.0000 0.5000
Ga 0.0000 0.5000 0.5000
Ga 0.5000 0.5000 0.5000
Ga 0.6667 0.3333 0.6054
Ga 0.6667 0.3333 0.8946
Lu 0.0000 0.0000 0.2500
Lu 0.6667 0.3334 0.2500
Lu 0.0000 0.0000 0.7500
Lu 0.3333 0.6666 0.7500
Ni 0.3324 0.1662 0.0155
Ni 0.8338 0.1662 0.0155
Ni 0.8338 0.6676 0.0155
Ni 0.0277 0.3531 0.2500
Ni 0.3254 0.3531 0.2500
Ni 0.0277 0.6747 0.2500
Ni 0.6470 0.6747 0.2500
Ni 0.3253 0.9723 0.2500
Ni 0.6470 0.9723 0.2500
Ni 0.3324 0.1662 0.4845
Ni 0.8338 0.1662 0.4845
Ni 0.8338 0.6676 0.4845
Ni 0.1662 0.3324 0.5155
Ni 0.1662 0.8338 0.5155
Ni 0.6676 0.8338 0.5155
Ni 0.3530 0.0277 0.7500
Ni 0.6747 0.0277 0.7500
Ni 0.3530 0.3253 0.7500
Ni 0.9723 0.3253 0.7500
Ni 0.6746 0.6469 0.7500
Ni 0.9723 0.6469 0.7500
Ni 0.1662 0.3324 0.9845
Ni 0.1662 0.8338 0.9845
Ni 0.6676 0.8338 0.9845

V: 13.33 A^3/atom
DFT total energy: -5.140 eV/atom

First-principles (PBE-GGA) data for a geometry-optimized LuGaNiOs structure, as listed in OQMD via LeMat-Bulk.

abc: 4.5100 4.5100 4.5100
angles: 60.00 60.00 60.00
Element x y z (fractional)
Ga 0.0000 0.0000 0.0000
Lu 0.2500 0.2500 0.2500
Ni 0.7500 0.7500 0.7500
Os 0.5000 0.5000 0.5000

V: 16.22 A^3/atom
DFT total energy: -5.937 eV/atom

First-principles (PBE-GGA) data for a geometry-optimized LuGaNiPd structure, as listed in OQMD via LeMat-Bulk.

abc: 4.5552 4.5552 4.5552
angles: 60.00 60.00 60.00
Element x y z (fractional)
Ga 0.0000 0.0000 0.0000
Lu 0.2500 0.2500 0.2500
Ni 0.7500 0.7500 0.7500
Pd 0.5000 0.5000 0.5000

Distance to the lowest polymorph of the same formula: 219 meV per atom
V: 16.71 A^3/atom
DFT total energy: -5.017 eV/atom

First-principles (PBE-GGA) data for a geometry-optimized LuGaNiPd structure, as listed in OQMD via LeMat-Bulk.

abc: 4.5091 4.5091 4.5091
angles: 60.00 60.00 60.00
Element x y z (fractional)
Ga 0.0000 0.0000 0.0000
Lu 0.5000 0.5000 0.5000
Ni 0.7500 0.7500 0.7500
Pd 0.2500 0.2500 0.2500

Distance to the lowest polymorph of the same formula: 0 meV per atom
V: 16.21 A^3/atom
DFT total energy: -5.236 eV/atom

First-principles (PBE-GGA) data for a geometry-optimized LuGaNiPt structure, as listed in OQMD via LeMat-Bulk.

abc: 4.5675 4.5675 4.5675
angles: 60.00 60.00 60.00
Element x y z (fractional)
Ga 0.0000 0.0000 0.0000
Lu 0.2500 0.2500 0.2500
Ni 0.7500 0.7500 0.7500
Pt 0.5000 0.5000 0.5000

Distance to the lowest polymorph of the same formula: 223 meV per atom
V: 16.84 A^3/atom
DFT total energy: -5.315 eV/atom

First-principles (PBE-GGA) data for a geometry-optimized LuGaNiPt structure, as listed in OQMD via LeMat-Bulk.

abc: 4.5255 4.5255 4.5255
angles: 60.00 60.00 60.00
Element x y z (fractional)
Ga 0.0000 0.0000 0.0000
Lu 0.5000 0.5000 0.5000
Ni 0.7500 0.7500 0.7500
Pt 0.2500 0.2500 0.2500

Distance to the lowest polymorph of the same formula: 0 meV per atom
V: 16.38 A^3/atom
DFT total energy: -5.538 eV/atom

First-principles (PBE-GGA) data for a geometry-optimized Lu2Sc2Ga5Ni2 structure, as listed in OQMD via LeMat-Bulk.

abc: 6.9599 3.3699 8.6952
angles: 90.00 94.23 90.00
Element x y z (fractional)
Ga 0.4392 0.0000 0.1888
Ga 0.8447 0.0000 0.3610
Ga 0.5000 0.0000 0.5000
Ga 0.1553 0.0000 0.6390
Ga 0.5608 0.0000 0.8112
Lu 0.7632 0.5000 0.0690
Lu 0.2368 0.5000 0.9310
Ni 0.0700 0.0000 0.1389
Ni 0.9300 0.0000 0.8611
Sc 0.1847 0.5000 0.3603
Sc 0.8153 0.5000 0.6397

V: 18.49 A^3/atom
DFT total energy: -4.922 eV/atom

First-principles (PBE-GGA) data for a geometry-optimized LuTaGaNi structure, as listed in OQMD via LeMat-Bulk.

abc: 4.6227 4.6227 4.6227
angles: 60.00 60.00 60.00
Element x y z (fractional)
Ga 0.0000 0.0000 0.0000
Lu 0.5000 0.5000 0.5000
Ni 0.7500 0.7500 0.7500
Ta 0.2500 0.2500 0.2500

Distance to the lowest polymorph of the same formula: 0 meV per atom
V: 17.46 A^3/atom
DFT total energy: -6.016 eV/atom

First-principles (PBE-GGA) data for a geometry-optimized LuZnGaNi structure, as listed in OQMD via LeMat-Bulk.

abc: 4.5009 4.5009 4.5009
angles: 60.00 60.00 60.00
Element x y z (fractional)
Ga 0.0000 0.0000 0.0000
Lu 0.2500 0.2500 0.2500
Ni 0.7500 0.7500 0.7500
Zn 0.5000 0.5000 0.5000

V: 16.12 A^3/atom
DFT total energy: -3.942 eV/atom

First-principles (PBE-GGA) data for a geometry-optimized Lu2Ga2O5 structure, as listed in OQMD via LeMat-Bulk.

abc: 8.3320 3.8759 3.8759
angles: 90.00 90.00 90.00
Element x y z (fractional)
Ga 0.0000 0.0000 0.0000
Ga 0.5000 0.0000 0.0000
Lu 0.2449 0.5000 0.5000
Lu 0.7551 0.5000 0.5000
O 0.1493 0.5000 0.0000
O 0.8507 0.5000 0.0000
O 0.1493 0.0000 0.5000
O 0.8507 0.0000 0.5000
O 0.5000 0.5000 0.5000

Distance to the lowest polymorph of the same formula: 0 meV per atom
V: 13.91 A^3/atom
DFT total energy: -6.626 eV/atom

First-principles (PBE-GGA) data for a geometry-optimized LuGaO3 structure, as listed in OQMD via LeMat-Bulk.

abc: 5.2973 5.2973 5.6334
angles: 61.95 61.95 60.00
Element x y z (fractional)
Ga 0.8509 0.8509 0.4473
Ga 0.1491 0.1491 0.5527
Lu 0.6380 0.6380 0.0860
Lu 0.3620 0.3620 0.9140
O 0.5581 0.2194 0.2620
O 0.9606 0.5581 0.2620
O 0.2194 0.9606 0.2620
O 0.7806 0.0394 0.7380
O 0.0394 0.4419 0.7380
O 0.4420 0.7806 0.7380

V: 11.50 A^3/atom
DFT total energy: -7.169 eV/atom

First-principles (PBE-GGA) data for a geometry-optimized Lu2Ga2O5 structure, as listed in OQMD via LeMat-Bulk.

abc: 6.6675 3.8546 3.8546
angles: 90.00 90.00 90.00
Element x y z (fractional)
Ga 0.2012 0.5000 0.5000
Ga 0.7988 0.5000 0.5000
Lu 0.0000 0.0000 0.0000
Lu 0.5000 0.0000 0.0000
O 0.2342 0.5000 0.0000
O 0.7658 0.5000 0.0000
O 0.2342 0.0000 0.5000
O 0.7658 0.0000 0.5000
O 0.5000 0.5000 0.5000

Distance to the lowest polymorph of the same formula: 20 meV per atom
V: 11.01 A^3/atom
DFT total energy: -6.606 eV/atom

First-principles (PBE-GGA) data for a geometry-optimized LuGaO3 structure, as listed in OQMD via LeMat-Bulk.

abc: 3.5779 3.5779 4.6850
angles: 90.00 90.00 90.00
Element x y z (fractional)
Ga 0.5000 0.5000 0.5138
Lu 0.0000 0.0000 0.9351
O 0.5000 0.5000 0.1217
O 0.5000 0.0000 0.6647
O 0.0000 0.5000 0.6647

V: 11.99 A^3/atom
DFT total energy: -7.052 eV/atom

First-principles (PBE-GGA) data for a geometry-optimized LuGaO3 structure, as listed in OQMD via LeMat-Bulk.

abc: 5.1721 5.5066 7.4765
angles: 90.00 90.00 90.00
Element x y z (fractional)
Ga 0.5000 0.0000 0.0000
Ga 0.0000 0.5000 0.0000
Ga 0.5000 0.0000 0.5000
Ga 0.0000 0.5000 0.5000
Lu 0.9787 0.0725 0.2500
Lu 0.5213 0.5725 0.2500
Lu 0.4787 0.4275 0.7500
Lu 0.0213 0.9275 0.7500
O 0.6889 0.3078 0.0618
O 0.8111 0.8078 0.0618
O 0.1234 0.4534 0.2500
O 0.3766 0.9534 0.2500
O 0.6889 0.3078 0.4382
O 0.8111 0.8078 0.4382
O 0.1889 0.1922 0.5618
O 0.3111 0.6922 0.5618
O 0.6234 0.0466 0.7500
O 0.8766 0.5466 0.7500
O 0.1889 0.1922 0.9382
O 0.3111 0.6922 0.9382

V: 10.65 A^3/atom
DFT total energy: -7.227 eV/atom

First-principles (PBE-GGA) data for a geometry-optimized LuPaGa structure, as listed in OQMD via LeMat-Bulk.

abc: 4.7997 4.7997 4.7997
angles: 60.00 60.00 60.00
Each line ends with the local moment (μB).
Element x y z (fractional)
Ga 0.0000 0.0000 0.0000  -0.01
Lu 0.2500 0.2500 0.2500  0.02
Pa 0.7500 0.7500 0.7500  0.08

Distance to the lowest polymorph of the same formula: 0 meV per atom
V: 26.06 A^3/atom
DFT total energy: -5.529 eV/atom

First-principles (PBE-GGA) data for a geometry-optimized LuGaPbSe3 structure, as listed in OQMD via LeMat-Bulk.

abc: 7.8175 7.8175 11.0663
angles: 90.00 90.00 150.10
Element x y z (fractional)
Ga 0.6361 0.3639 0.2500
Ga 0.3639 0.6361 0.7500
Lu 0.0000 0.0000 0.0000
Lu 0.0000 0.0000 0.5000
Pb 0.2897 0.7103 0.2500
Pb 0.7103 0.2897 0.7500
Se 0.3708 0.6292 0.0113
Se 0.0252 0.9748 0.2500
Se 0.3708 0.6292 0.4887
Se 0.6292 0.3708 0.5113
Se 0.9748 0.0252 0.7500
Se 0.6292 0.3708 0.9887

V: 28.09 A^3/atom
DFT total energy: -4.521 eV/atom

First-principles (PBE-GGA) data for a geometry-optimized Lu2Ga8Pd structure, as listed in OQMD via LeMat-Bulk.

abc: 4.3054 4.3054 10.9772
angles: 90.00 90.00 90.00
Element x y z (fractional)
Ga 0.5000 0.0000 0.1298
Ga 0.0000 0.5000 0.1298
Ga 0.5000 0.5000 0.3089
Ga 0.5000 0.0000 0.5000
Ga 0.0000 0.5000 0.5000
Ga 0.5000 0.5000 0.6911
Ga 0.5000 0.0000 0.8702
Ga 0.0000 0.5000 0.8702
Lu 0.0000 0.0000 0.3128
Lu 0.0000 0.0000 0.6872
Pd 0.0000 0.0000 0.0000

V: 18.50 A^3/atom
DFT total energy: -3.982 eV/atom